A plane-wave DFT calculation with GGA-PBE was carried out for crystalline Nd6PdRu2 at its relaxed geometry.

Geometry as POSCAR:
```
Nd6PdRu2
1.0
8.096 0.047 -2.965
-4.250 7.083 -2.472
-0.101 -0.047 8.622
Pd Nd Ru
2 12 4
direct
0.000 0.500 0.500
0.000 0.000 0.000
0.685 0.356 0.671
0.811 0.758 0.569
0.098 0.277 0.820
0.189 0.758 0.947
0.902 0.723 0.179
0.457 0.277 0.180
0.543 0.723 0.821
0.685 0.013 0.329
0.315 0.987 0.671
0.189 0.242 0.431
0.315 0.644 0.329
0.811 0.242 0.053
0.677 0.000 0.677
0.500 0.623 0.123
0.323 0.000 0.323
0.500 0.377 0.877
```

- E: -6.111 eV per atom
- Energy of formation: -0.294 eV per atom
- ρ: 7.9 g/cm³
- Polymorph energy (0 for the lowest one): 0 meV/atom